Sm3Si4Au7 | PBE | relaxed

Unit cell a=16.141 b=4.352 c=9.578 alpha=90.00 beta=125.74 gamma=90.00
Space group C2/m (No. 12)
Inequivalent atoms, fractional coordinates:
Sm 0.000 0.000 0.000 x2
Sm 0.187 0.500 0.687 x4
Si 0.121 0.000 0.839 x4
Si 0.164 0.500 0.280 x4
Au 0.000 0.000 0.500 x2
Au 0.007 0.500 0.288 x4
Au 0.157 0.000 0.413 x4
Au 0.180 0.500 0.035 x4

Calculated values
* energy relative to the elements, uncorrected: -0.60 eV/atom

CeCuSbO5 | PBE | relaxed

Unit cell a=6.856 b=9.184 c=8.107 alpha=90.00 beta=113.89 gamma=90.00
Space group C2/c (No. 15)
Inequivalent atoms, fractional coordinates:
Ce 0.250 0.250 0.000 x4
Cu 0.000 0.060 0.250 x4
Sb 0.000 0.390 0.250 x4
O 0.000 0.393 0.750 x4
O 0.037 0.231 0.426 x8
O 0.221 0.087 0.782 x8

Calculated values
* energy relative to the elements, uncorrected: -1.67 eV/atom

Ac8TcIr3Br4 | PBE | relaxed

Unit cell a=8.6895 b=8.6895 c=24.7738 alpha=90.00 beta=90.00 gamma=120.00
Space group R-3m (No. 166, hexagonal axes)
Inequivalent atoms, fractional coordinates:
Ac 0.0000 0.0000 0.2307 x6
Ac 0.0040 0.5020 0.2319 x18
Tc 0.0000 0.0000 0.5000 x3
Ir 0.0000 0.5000 0.5000 x9
Br 0.0000 0.0000 0.0000 x3
Br 0.0000 0.5000 0.0000 x9

Calculated values
* energy relative to the elements, uncorrected: -1.01 eV/atom

AcSm2Sn | PBE | relaxed

Unit cell a=4.137 b=4.137 c=7.668 alpha=90.00 beta=90.00 gamma=90.00
Space group P4/mmm (No. 123)
Inequivalent atoms, fractional coordinates:
Ac 0.000 0.000 0.000 x1
Sm 0.500 0.500 0.298 x2
Sn 0.000 0.000 0.500 x1

Calculated values
* energy: -18.8 eV per formula unit

Ca2PuHgO6 | PBE | relaxed

Unit cell a=6.171 b=6.171 c=4.351 alpha=90.00 beta=90.00 gamma=90.00
Space group P4mm (No. 99)
Inequivalent atoms, fractional coordinates:
Ca 0.000 0.500 0.000 x2
Pu 0.000 0.000 0.710 x1
Hg 0.500 0.500 0.608 x1
O 0.000 0.000 0.212 x1
O 0.229 0.229 0.752 x4
O 0.500 0.500 0.127 x1

Calculated values
* energy relative to the elements, uncorrected: -2.07 eV/atom

LiZn2Sb | PBE | relaxed

Unit cell a=4.148 b=4.148 c=18.573 alpha=90.00 beta=90.00 gamma=90.00
Space group I-42d (No. 122)
Inequivalent atoms, fractional coordinates:
Li 0.000 0.000 0.000 x4
Zn 0.209 0.250 0.125 x8
Sb 0.000 0.000 0.500 x4

Calculated values
* energy relative to the elements, uncorrected: -0.04 eV/atom

YThRh4 | PBE | relaxed

Unit cell a=7.622 b=7.622 c=7.622 alpha=90.00 beta=90.00 gamma=90.00
Space group F-43m (No. 216)
Inequivalent atoms, fractional coordinates:
Y 0.000 0.000 0.000 x4
Th 0.250 0.250 0.250 x4
Rh 0.125 0.125 0.625 x16

Calculated values
* energy: -47.8 eV per formula unit

DyCdReO6 | PBE | relaxed

Unit cell a=5.5141 b=5.5141 c=4.7396 alpha=90.00 beta=90.00 gamma=120.00
Space group P312 (No. 149)
Inequivalent atoms, fractional coordinates:
Dy 0.0000 0.0000 0.0000 x1
Cd 0.6667 0.3333 0.5000 x1
Re 0.3333 0.6667 0.0000 x1
O 0.0481 0.3794 0.2255 x6

Calculated values
* energy relative to the elements, uncorrected: -1.96 eV/atom

no.,density (Mg/m³)
1,11.81
2,5.77
3,8.64
4,8.18
5,6.22
6,5.39
7,10.99
8,7.41